5
Lattice="-2.828 -0.664 3.167 1.963 -4.233 0.865 2.704 1.825 2.797" Properties=species:S:1:pos:R:3 comment="BeOs2AuI, relaxed, DFT PBE" m_tot_mub_per_fu=2.31 space_group="P4/mmm, No. 123" dos_at_fermi_per_ev_cell=5.33 e_form_raw_ev_per_atom=1.553 pbc="T T T"
Au 0.919 -1.536 3.415
I 0.981 -2.117 0.433
Be 0.000 0.000 0.000
Os -1.414 -0.332 1.584
Os 1.352 0.913 1.399